VASP calculation (GGA-PBEsol) on a geometry-optimized BaTl2H2 structure.

Calculated values
magnetization: 0.0 Bohr magnetons per cell
raw total energy: -2.666 eV/atom
N(E_F): 2.22 states/eV/cell

Cell: 5.9200 5.9200 5.9200 Å, 133.50 133.50 67.87°
With the nearest neighbours (Å) after each atom.
Element x y z (fractional)
Ba 0.0000 0.0000 0.0000  10 Tl 3.33-3.66, 8 H 3.39
Tl 0.3392 0.3392 0.0000  4 H 2.50
Tl 0.6608 0.6608 0.0000  4 H 2.50
H 0.2500 0.7500 0.5000  4 Tl 2.50
H 0.7500 0.2500 0.5000  4 Tl 2.50

***

VASP calculation (GGA-PBEsol) on a geometry-optimized BaYZn2H structure.

Calculated values
magnetization: 0.0 Bohr magnetons per cell
raw total energy: -1.516 eV/atom
N(E_F): 4.88 states/eV/cell

Cell: 5.7489 5.7489 6.3081 Å, 90.00 90.00 90.00°
With the nearest neighbours (Å) after each atom.
Element x y z (fractional)
Ba 0.0000 0.0000 0.0000  4 Zn 2.87, 2 Y 3.15
Y 0.0000 0.0000 0.5000  2 Ba 3.15
Zn 0.0000 0.5000 0.0000  2 Ba 2.87
Zn 0.5000 0.0000 0.0000  2 Ba 2.87
H 0.5000 0.5000 0.5000  4 Y 4.07, 8 Zn 4.27

***

VASP calculation (GGA-PBEsol) on a geometry-optimized Ba3ZnH structure.

Calculated values
magnetization: 0.0 Bohr magnetons per cell
raw total energy: -2.341 eV/atom
N(E_F): 5.39 states/eV/cell

Cell: 5.4734 5.4734 5.4734 Å, 90.00 90.00 90.00°
With the nearest neighbours (Å) after each atom.
Element x y z (fractional)
Ba 0.0000 0.0000 0.5000  2 H 2.74
Ba 0.0000 0.5000 0.0000  2 H 2.74
Ba 0.5000 0.0000 0.0000  2 H 2.74
Zn 0.5000 0.5000 0.5000  12 Ba 3.87
H 0.0000 0.0000 0.0000  6 Ba 2.74

***

VASP calculation (GGA-PBEsol) on a geometry-optimized BaZn2H structure.

Calculated values
magnetization: 0.0 Bohr magnetons per cell
raw total energy: -2.011 eV/atom
N(E_F): 5.13 states/eV/cell

Cell: 6.0192 6.0192 6.0192 Å, 60.00 60.00 60.00°
With the nearest neighbours (Å) after each atom.
Element x y z (fractional)
Ba 0.1250 0.1250 0.1250  12 Zn 3.53, 4 Ba 3.69, 4 H 3.69
Ba 0.8750 0.8750 0.8750  12 Zn 3.53, 4 Ba 3.69, 4 H 3.69
Zn 0.0000 0.5000 0.5000  2 H 1.84
Zn 0.5000 0.0000 0.5000  2 H 1.84
Zn 0.5000 0.5000 0.0000  2 H 1.84
Zn 0.5000 0.5000 0.5000  2 H 1.84
H 0.3750 0.3750 0.3750  4 Zn 1.84
H 0.6250 0.6250 0.6250  4 Zn 1.84

***

VASP calculation (GGA-PBEsol) on a geometry-optimized BaZrH2 structure.

Calculated values
magnetization: 0.0 Bohr magnetons per cell
raw total energy: -3.874 eV/atom
N(E_F): 4.39 states/eV/cell

Cell: 4.4772 4.4772 4.4772 Å, 60.00 60.00 60.00°
With the nearest neighbours (Å) after each atom.
Element x y z (fractional)
Ba 0.0000 0.0000 0.0000  8 H 2.74
Zr 0.5000 0.5000 0.5000  8 H 2.74
H 0.2500 0.2500 0.2500  4 Ba 2.74, 4 Zr 2.74
H 0.7500 0.7500 0.7500  4 Ba 2.74, 4 Zr 2.74

***

VASP calculation (GGA-PBEsol) on a geometry-optimized BaHf2HgN structure.

Calculated values
magnetization: 0.0 Bohr magnetons per cell
ΔE_f (raw): -0.087 eV/atom
N(E_F): 6.60 states/eV/cell

Cell: 4.3672 4.3672 6.4509 Å, 90.00 90.00 90.00°
With the nearest neighbours (Å) after each atom.
Element x y z (fractional)
Ba 0.0000 0.0000 0.0000  4 Hg 3.09
Hf 0.0000 0.5000 0.5000  2 N 2.18
Hf 0.5000 0.0000 0.5000  2 N 2.18
Hg 0.5000 0.5000 0.0000  4 Ba 3.09, 2 N 3.23
N 0.5000 0.5000 0.5000  4 Hf 2.18

***

- Which of these has the lowest N(E_F)?
  BaTl2H2